[1]
DFT (PBE) results for a relaxed structure of PrCu2PbO5.

As for the uncorrected formation energy: -1.343 eV per atom. The value obtained for the density of states at the Fermi level is 0.484 states/eV/atom. Its space group is P4/mmm.

Cell and atoms, written as CIF:
```
data_PrCu2PbO5
_chemical_formula_sum 'Pr1 Cu2 Pb1 O5'
_symmetry_space_group_name_H-M 'P 1'
_symmetry_Int_Tables_number 1
_cell_length_a 3.896
_cell_length_b 3.896
_cell_length_c 7.766
_cell_angle_alpha 90.00
_cell_angle_beta 90.00
_cell_angle_gamma 90.00
loop_
_symmetry_equiv_pos_as_xyz
'x,y,z'
loop_
_atom_site_label
_atom_site_type_symbol
_atom_site_fract_x
_atom_site_fract_y
_atom_site_fract_z
Pr1 Pr 0.000 0.000 0.000
Cu1 Cu 0.500 0.500 0.241
Cu2 Cu 0.500 0.500 0.759
Pb1 Pb 0.000 0.000 0.500
O1 O 0.000 0.500 0.198
O2 O 0.000 0.500 0.802
O3 O 0.500 0.000 0.198
O4 O 0.500 0.000 0.802
O5 O 0.500 0.500 0.500
```



[2]
DFT (PBE) results for a relaxed structure of Pr2CuPbO6.

As for the uncorrected formation energy: -2.007 eV per atom. The value obtained for the density of states at the Fermi level is 0.038 states/eV/atom. Its space group is P2_1/c.

Cell and atoms, written as CIF:
```
data_Pr2CuPbO6
_chemical_formula_sum 'Pr4 Cu2 Pb2 O12'
_symmetry_space_group_name_H-M 'P 1'
_symmetry_Int_Tables_number 1
_cell_length_a 5.600
_cell_length_b 5.744
_cell_length_c 10.254
_cell_angle_alpha 90.00
_cell_angle_beta 118.61
_cell_angle_gamma 90.00
loop_
_symmetry_equiv_pos_as_xyz
'x,y,z'
loop_
_atom_site_label
_atom_site_type_symbol
_atom_site_fract_x
_atom_site_fract_y
_atom_site_fract_z
Pr1 Pr 0.205 0.054 0.240
Pr2 Pr 0.205 0.446 0.740
Pr3 Pr 0.795 0.554 0.260
Pr4 Pr 0.795 0.946 0.760
Cu1 Cu 0.000 0.000 0.500
Cu2 Cu 0.000 0.500 0.000
Pb1 Pb 0.500 0.000 0.000
Pb2 Pb 0.500 0.500 0.500
O1 O 0.129 0.222 0.936
O2 O 0.129 0.278 0.436
O3 O 0.192 0.702 0.918
O4 O 0.192 0.798 0.418
O5 O 0.402 0.054 0.773
O6 O 0.402 0.446 0.273
O7 O 0.598 0.554 0.727
O8 O 0.598 0.946 0.227
O9 O 0.808 0.202 0.582
O10 O 0.808 0.298 0.082
O11 O 0.871 0.722 0.564
O12 O 0.871 0.778 0.064
```



[3]
DFT (PBE) results for a relaxed structure of Pr2CuPbO5.

As for the uncorrected formation energy: -1.654 eV per atom. The value obtained for the density of states at the Fermi level is 0.452 states/eV/atom. Its space group is P4/mbm.

Cell and atoms, written as CIF:
```
data_Pr2CuPbO5
_chemical_formula_sum 'Pr4 Cu2 Pb2 O10'
_symmetry_space_group_name_H-M 'P 1'
_symmetry_Int_Tables_number 1
_cell_length_a 6.864
_cell_length_b 6.864
_cell_length_c 6.411
_cell_angle_alpha 90.00
_cell_angle_beta 90.00
_cell_angle_gamma 90.00
loop_
_symmetry_equiv_pos_as_xyz
'x,y,z'
loop_
_atom_site_label
_atom_site_type_symbol
_atom_site_fract_x
_atom_site_fract_y
_atom_site_fract_z
Pr1 Pr 0.175 0.325 0.000
Pr2 Pr 0.325 0.825 0.000
Pr3 Pr 0.675 0.175 0.000
Pr4 Pr 0.825 0.675 0.000
Cu1 Cu 0.000 0.000 0.500
Cu2 Cu 0.500 0.500 0.500
Pb1 Pb 0.000 0.500 0.500
Pb2 Pb 0.500 0.000 0.500
O1 O 0.000 0.000 0.000
O2 O 0.142 0.642 0.234
O3 O 0.142 0.642 0.766
O4 O 0.358 0.142 0.234
O5 O 0.358 0.142 0.766
O6 O 0.500 0.500 0.000
O7 O 0.642 0.858 0.234
O8 O 0.642 0.858 0.766
O9 O 0.858 0.358 0.234
O10 O 0.858 0.358 0.766
```